No. 1
Computed, not measured: an optimized crystal structure of LaIn2Sn at the PBE level of DFT.

a b c (Å): 5.077 5.077 6.013
angles (deg): 65.03 65.03 60.00
Fractional coordinates of all 4 atoms:
Sn1 0.000 0.000 0.000
In1 0.268 0.268 0.195
In2 0.732 0.732 0.805
La1 0.500 0.500 0.500

Results
DOS(E_F): 3.21 states/eV per cell
Calculated formation energy: -0.2859 eV per atom
Symmetry: R-3m (166)

---

No. 2
Computed, not measured: an optimized crystal structure of LaInSn6 at the PBE level of DFT.

a b c (Å): 4.750 6.815 6.815
angles (deg): 90.00 90.00 90.00
Fractional coordinates of all 8 atoms:
La1 0.500 0.000 0.000
Sn1 0.000 0.262 0.738
Sn2 0.000 0.738 0.738
Sn3 0.000 0.738 0.262
Sn4 0.500 0.500 0.000
Sn5 0.500 0.000 0.500
Sn6 0.000 0.262 0.262
In1 0.500 0.500 0.500

Results
DOS(E_F): 3.71 states/eV per cell
Energy relative to the lowest polymorph listed for this composition: 0 meV per atom
Calculated formation energy: -0.2473 eV per atom
Symmetry: P4/mmm (123)

---

No. 3
Computed, not measured: an optimized crystal structure of La5In2Sn2 at the PBE level of DFT.

a b c (Å): 8.546 8.494 9.351
angles (deg): 117.01 90.00 90.00
Fractional coordinates of all 18 atoms:
La1 0.324 0.680 0.728
La2 0.676 0.048 0.728
La3 0.676 0.320 0.272
La4 0.500 0.500 0.000
La5 0.324 0.952 0.272
La6 0.824 0.820 0.272
La7 0.000 0.000 0.000
La8 0.176 0.180 0.728
La9 0.824 0.548 0.728
La10 0.176 0.452 0.272
Sn1 0.626 0.878 0.000
Sn2 0.374 0.122 0.000
Sn3 0.126 0.622 0.000
Sn4 0.874 0.378 0.000
In1 0.500 0.712 0.425
In2 0.000 0.212 0.425
In3 0.000 0.788 0.575
In4 0.500 0.288 0.575

Results
DOS(E_F): 22.89 states/eV per cell
Calculated formation energy: -0.5832 eV per atom
Symmetry: Cmce (64)